Record 1
Material: CdRe2P
Method: DFT, SCAN
State: PBEsol geometry

Values from the calculation:
DOS(E_F) in states/eV/f.u.: 3.27
Formation enthalpy at 0 K in eV/atom: 0.206

Cell: 2.916 2.916 7.346 Å, 90.00 90.00 90.00°
Space group P4mm (No. 99)
Symmetry-distinct sites (fractional):
Cd 0.000 0.000 0.000 [1 per cell]
Re 0.000 0.000 0.485 [1 per cell]
Re 0.500 0.500 0.718 [1 per cell]
P 0.500 0.500 0.300 [1 per cell]

---

Record 2
Material: CdRe2P
Method: DFT, SCAN
State: PBEsol geometry

Values from the calculation:
DOS(E_F) in states/eV/f.u.: 2.37
Formation enthalpy at 0 K in eV/atom: 0.458

Cell: 2.858 4.688 10.139 Å, 90.00 90.00 90.00°
Space group Cmm2 (No. 35)
Symmetry-distinct sites (fractional):
Cd 0.000 0.000 0.000 [2 per cell]
Re 0.000 0.000 0.525 [2 per cell]
Re 0.000 0.500 0.741 [2 per cell]
P 0.000 0.500 0.329 [2 per cell]

---

Record 3
Material: CdRe2P
Method: DFT, SCAN
State: PBEsol geometry

Values from the calculation:
DOS(E_F) in states/eV/f.u.: 2.87
Formation enthalpy at 0 K in eV/atom: 0.827

Cell: 3.945 3.945 7.708 Å, 90.00 90.00 90.00°
Space group I-4m2 (No. 119)
Symmetry-distinct sites (fractional):
Cd 0.000 0.000 0.000 [2 per cell]
Re 0.000 0.000 0.500 [2 per cell]
Re 0.000 0.500 0.750 [2 per cell]
P 0.000 0.500 0.250 [2 per cell]

---

Record 4
Material: CdRe2P
Method: DFT, SCAN
State: PBEsol geometry

Values from the calculation:
DOS(E_F) in states/eV/f.u.: 2.14
Formation enthalpy at 0 K in eV/atom: 0.481

Cell: 2.960 4.827 8.537 Å, 90.00 90.00 90.00°
Space group Cmmm (No. 65)
Symmetry-distinct sites (fractional):
Cd 0.000 0.000 0.000 [2 per cell]
Re 0.000 0.500 0.289 [4 per cell]
P 0.000 0.000 0.500 [2 per cell]

---

Record 5
Material: CdRe2P
Method: DFT, SCAN
State: PBEsol geometry

Values from the calculation:
DOS(E_F) in states/eV/f.u.: 2.50
Formation enthalpy at 0 K in eV/atom: 0.826

Cell: 6.268 6.268 6.268 Å, 90.00 90.00 90.00°
Space group F-43m (No. 216)
Symmetry-distinct sites (fractional):
Cd 0.000 0.000 0.000 [4 per cell]
Re 0.000 0.000 0.500 [4 per cell]
Re 0.250 0.250 0.250 [4 per cell]
P 0.250 0.250 0.750 [4 per cell]

---

Record 6
Material: CdRe2P
Method: DFT, SCAN
State: PBEsol geometry

Values from the calculation:
DOS(E_F) in states/eV/f.u.: 2.22
Formation enthalpy at 0 K in eV/atom: 0.375

Cell: 4.301 2.892 10.215 Å, 90.00 90.00 90.00°
Space group Amm2 (No. 38)
Symmetry-distinct sites (fractional):
Cd 0.000 0.000 0.000 [2 per cell]
Re 0.000 0.000 0.261 [2 per cell]
Re 0.500 0.000 0.669 [2 per cell]
P 0.500 0.000 0.358 [2 per cell]

---

| no. | size of the total moment (μB per formula unit) | final energy (eV for the cell shown) |
| --- | --- | --- |
| 1 | 0.00 | -182.2 |
| 2 | 0.00 | -362.4 |
| 3 | 0.00 | -359.4 |
| 4 | 0.00 | -362.2 |
| 5 | 0.00 | -718.8 |
| 6 | 0.00 | -363.0 |